Entry 1:
# Ba3Zn2B3O9F

A geometry-optimized Ba3Zn2B3O9F structure (GGA-PBE, Alexandria via LeMat-Bulk).

The value obtained for the density of states at the Fermi level is 0.000 states/eV per atom. For the uncorrected formation energy, the calculation gives -4398 kJ/mol of formula units. Its total energy is -481.71 eV per cell. As for the spin magnetization: 0.0 μB per formula unit.

The structure belongs to space group Pnma (No. 62); the cell edges are 8.7311, 17.5364 and 7.0495 Å and the angles 90.00°, 90.00° and 90.00°. The asymmetric unit holds Ba at (0.0592, 0.1171, 0.1482), Ba at (0.2040, 0.2500, 0.6348), Zn at (0.0762, 0.5854, 0.4050), B at (0.2034, 0.7500, 0.5677), B at (0.2335, 0.0413, 0.6002), O at (0.1127, 0.5544, 0.1439), O at (0.1427, 0.1013, 0.5365), O at (0.1760, 0.5318, 0.6200), O at (0.1792, 0.6824, 0.4670), O at (0.2368, 0.2500, 0.2481) and F at (0.0018, 0.7500, 0.0670).


Entry 2:
# GaTe2IO

A geometry-optimized GaTe2IO structure (GGA-PBE, Alexandria via LeMat-Bulk).

The value obtained for the density of states at the Fermi level is 0.823 states/eV per atom. For the uncorrected formation energy, the calculation gives 4 kJ/mol of formula units. Its relative energy among the computed polymorphs is 0.00 eV/f.u. Its total energy is -15.77 eV per cell. As for the spin magnetization: 0.0 μB per formula unit.

The structure belongs to space group P4/mmm (No. 123); the cell edges are 4.5089, 4.5089 and 7.4214 Å and the angles 90.00°, 90.00° and 90.00°. The asymmetric unit holds Ga at (0.0000, 0.0000, 0.0000), Te at (0.0000, 0.5000, 0.5000), I at (0.5000, 0.5000, 0.0000) and O at (0.5000, 0.5000, 0.5000).


Entry 3:
# Dy4AlNi

A geometry-optimized Dy4AlNi structure (GGA-PBE, Alexandria via LeMat-Bulk).

The value obtained for the density of states at the Fermi level is 0.948 states/eV per atom. Its relative energy among the computed polymorphs is 0.55 eV/f.u. Its total energy is -117.51 eV per cell. As for the spin magnetization: 0.0 μB per formula unit.

The structure belongs to space group C2/c (No. 15); the cell edges are 8.5970, 12.4654 and 6.0447 Å and the angles 90.00°, 107.03° and 90.00°. The asymmetric unit holds Dy at (0.1112, 0.1663, 0.0437), Dy at (0.2063, 0.4150, 0.3992), Al at (0.0000, 0.3772, 0.7500) and Ni at (0.0000, 0.0015, 0.2500).